[1]
Below is Ce4PuGe2 after structural relaxation, with properties calculated at the GGA-PBE level.

Summary:
Energy above the lowest structure with this stoichiometry = 0.0 meV/atom
Calculated volume = 175 Å³/f.u.
DOS(E_F) = 13.296 states/eV/f.u.
Uncorrected energy = -7.11 eV/atom

Cell lengths 4.3515, 4.3515, 9.2313 Å; angles 90.00, 90.00, 90.00 degrees
Last column: nearest neighbours and their distance in Å.
Space group P-4m2 (No. 115)
Unique sites:
Ce 0.0000 0.0000 0.0000 (multiplicity 1)  4 Ce 3.08, 4 Ge 3.19
Ce 0.0000 0.5000 0.3228 (multiplicity 2)  2 Pu 2.72
Ce 0.5000 0.5000 0.0000 (multiplicity 1)  4 Ce 3.08, 4 Ge 3.19
Pu 0.5000 0.5000 0.5000 (multiplicity 1)  4 Ce 2.72
Ge 0.0000 0.5000 0.7478 (multiplicity 2)  8 Ce 3.15-3.19, 2 Pu 3.16

---

[2]
Below is Sc3MnAu after structural relaxation, with properties calculated at the GGA-PBE level.

Summary:
Energy above the lowest structure with this stoichiometry = 0.0 meV/atom
Calculated volume = 108 Å³/f.u.
DOS(E_F) = 5.760 states/eV/f.u.
Uncorrected energy = -6.23 eV/atom

Cell lengths 4.7632, 4.7632, 4.7632 Å; angles 90.00, 90.00, 90.00 degrees
Last column: nearest neighbours and their distance in Å.
Space group Pm-3m (No. 221)
Unique sites:
Sc 0.0000 0.0000 0.5000 (multiplicity 3)  2 Mn 2.38
Mn 0.0000 0.0000 0.0000 (multiplicity 1)  6 Sc 2.38
Au 0.5000 0.5000 0.5000 (multiplicity 1)  12 Sc 3.37